Entry from the Alexandria database: a relaxed Ba3CeAg2S6 crystal (PBE-GGA).

Lattice parameters (Å, degrees): 7.5460 7.5460 7.9297 90.00 90.00 120.00
Last column: nearest neighbours and their distance in Å.
Space group P-3m1 (No. 164)
Asymmetric unit:
Ba  0.0000  0.0000  0.0000  6 S 3.17
Ba  0.3333  0.6667  0.5947  3 S 3.25, 1 Ag 3.48
Ce  0.0000  0.0000  0.5000  6 S 2.69
Ag  0.3333  0.6667  0.1560  3 S 2.47
S  0.1638  0.3276  0.2950  1 Ag 2.47, 1 Ce 2.69

Summary:
Formation energy without anion corrections, meV per atom: -1318
Magnetic moment, μB per formula unit: 0.00

Entry from the Alexandria database: a relaxed KSc3Br crystal (PBE-GGA).

Lattice parameters (Å, degrees): 5.2882 5.2882 5.2882 90.00 90.00 90.00
Last column: nearest neighbours and their distance in Å.
Space group Pm-3m (No. 221)
Asymmetric unit:
K  0.0000  0.0000  0.0000  12 Sc 3.74
Sc  0.0000  0.5000  0.5000  2 Br 2.64
Br  0.5000  0.5000  0.5000  6 Sc 2.64

Summary:
Formation energy without anion corrections, meV per atom: 303
Magnetic moment, μB per formula unit: 1.13
ΔE to the lowest computed polymorph, eV per formula unit: 0.000

Entry from the Alexandria database: a relaxed CaSiAsO6 crystal (PBE-GGA).

Lattice parameters (Å, degrees): 4.8396 4.8396 10.2260 90.00 90.00 120.00
Last column: nearest neighbours and their distance in Å.
Space group P-31c (No. 163)
Asymmetric unit:
Ca  0.0000  0.0000  0.0000  6 O 2.38
Si  0.3333  0.6667  0.2500  6 O 1.80
As  0.3333  0.6667  0.7500  6 O 1.86
O  0.0094  0.3781  0.1509  1 Si 1.80, 1 As 1.86

Summary:
Formation energy without anion corrections, meV per atom: -2022
Magnetic moment, μB per formula unit: 1.04

Entry from the Alexandria database: a relaxed BeSiCl2 crystal (PBE-GGA).

Lattice parameters (Å, degrees): 3.0959 4.0552 5.7179 90.00 90.00 90.00
Last column: nearest neighbours and their distance in Å.
Space group Pmmm (No. 47)
Asymmetric unit:
Be  0.0000  0.0000  0.0000  4 Cl 2.55
Si  0.5000  0.0000  0.5000  4 Cl 2.55
Cl  0.0000  0.5000  0.5000  4 Si 2.55
Cl  0.5000  0.5000  0.0000  4 Be 2.55

Summary:
Formation energy without anion corrections, meV per atom: 379
Magnetic moment, μB per formula unit: 0.00
ΔE to the lowest computed polymorph, eV per formula unit: 2.990

Entry from the Alexandria database: a relaxed InNClF2 crystal (PBE-GGA).

Lattice parameters (Å, degrees): 4.1928 4.1928 4.6054 90.00 90.00 90.00
Last column: nearest neighbours and their distance in Å.
Space group P4/mmm (No. 123)
Asymmetric unit:
In  0.0000  0.0000  0.0000  4 F 2.10, 2 N 2.30
N  0.0000  0.0000  0.5000  2 In 2.30
Cl  0.5000  0.5000  0.5000  4 N 2.96, 8 F 3.11
F  0.0000  0.5000  0.0000  2 In 2.10

Summary:
Formation energy without anion corrections, meV per atom: -422
Magnetic moment, μB per formula unit: 0.98
ΔE to the lowest computed polymorph, eV per formula unit: 0.000

Entry from the Alexandria database: a relaxed Pr5Tm2Cd crystal (PBE-GGA).

Lattice parameters (Å, degrees): 13.3489 11.5776 3.5573 90.00 105.34 90.00
Last column: nearest neighbours and their distance in Å.
Space group C2/m (No. 12)
Asymmetric unit:
Pr  0.0000  0.0000  0.0000  10 Pr 3.56-3.60, 2 Tm 3.58
Pr  0.1329  0.2265  0.6330  3 Tm 3.37-3.68, 7 Pr 3.42-3.60
Tm  0.2222  0.5000  0.7233  2 Cd 3.36-3.37, 7 Pr 3.37-3.68, 2 Tm 3.56
Cd  0.0000  0.5000  0.0000  4 Tm 3.36-3.37, 2 Cd 3.56

Summary:
Energy relative to the elements, eV per atom: 0.03
Magnetic moment, μB per formula unit: 0.00

So what do the calculations give for E? Going down the list: -58.0, -20.2, -120.1, -11.3, -18.8, -67.1 eV for the cell shown.